No. 1
ZrTe2Ir (PBE-GGA, optimized geometry); space group = No. 119; DOS(E_F) = 1.92 states/eV/f.u.; raw formation energy = -9 kJ per mole of atoms; energy above the most stable polymorph in this dataset = 0.540 eV per atom
1.0
-2.0599 2.0599 4.9712
2.0599 -2.0599 4.9712
2.0599 2.0599 -4.9712
Zr Te Ir
1 2 1
Direct
0.0000 0.0000 0.0000 Zr
0.5000 0.5000 0.0000 Te
0.7500 0.2500 0.5000 Te
0.2500 0.7500 0.5000 Ir

No. 2
Sc2HgO4 (PBE-GGA, optimized geometry); space group = No. 62; DOS(E_F) = 0.00 states/eV/f.u.; raw formation energy = -244 kJ per mole of atoms
1.0
10.3434 0.0000 0.0000
0.0000 3.2559 0.0000
0.0000 0.0000 11.1783
Sc Hg O
8 4 16
Direct
0.0970 0.2500 0.0941 Sc
0.1525 0.2500 0.7299 Sc
0.3475 0.7500 0.2299 Sc
0.4030 0.7500 0.5941 Sc
0.5970 0.2500 0.4059 Sc
0.6525 0.2500 0.7701 Sc
0.8475 0.7500 0.2701 Sc
0.9030 0.7500 0.9059 Sc
0.1225 0.2500 0.4369 Hg
0.3775 0.7500 0.9369 Hg
0.6225 0.2500 0.0631 Hg
0.8775 0.7500 0.5631 Hg
0.0367 0.2500 0.8964 O
0.0414 0.7500 0.6667 O
0.2224 0.2500 0.2493 O
0.2285 0.7500 0.0587 O
0.2715 0.2500 0.5587 O
0.2776 0.7500 0.7493 O
0.4586 0.2500 0.1667 O
0.4633 0.7500 0.3964 O
0.5367 0.2500 0.6036 O
0.5414 0.7500 0.8333 O
0.7224 0.2500 0.2507 O
0.7285 0.7500 0.4413 O
0.7715 0.2500 0.9413 O
0.7776 0.7500 0.7507 O
0.9586 0.2500 0.3333 O
0.9633 0.7500 0.1036 O

No. 3
YAlCd (PBE-GGA, optimized geometry); formation enthalpy at 0 K = -0.222 eV per atom; space group = No. 107; DOS(E_F) = 1.55 states/eV/f.u.
1.0
-1.6799 1.6799 6.0741
1.6799 -1.6799 6.0741
1.6799 1.6799 -6.0741
Y Al Cd
1 1 1
Direct
0.0000 0.0000 0.0000 Y
0.3314 0.3314 0.0000 Al
0.6878 0.6878 0.0000 Cd